Record 1
TaAgSe2 (SCAN, PBEsol geometry); magnetization = 0.00 μB/f.u.; DFT total energy = -135.43 eV/f.u.; formation energy (no corrections) = 0.668 eV/atom
1.0
-2.304 -1.731 -3.672
2.275 -2.510 -3.211
-0.748 -4.595 -0.331
Ag Se Ta
1 2 1
Direct
0.500 0.500 0.500 Ag
0.000 0.000 0.000 Se
0.750 0.750 0.750 Se
0.250 0.250 0.250 Ta

---

Record 2
Na2Ge2Pt (SCAN, PBEsol geometry); magnetization = 0.00 μB/f.u.; DFT total energy = -119.11 eV/f.u.
1.0
4.896 0.000 0.000
0.000 6.373 0.000
0.000 0.000 6.373
Na Ge Pt
4 4 2
Direct
0.500 0.181 0.681 Na
0.500 0.681 0.819 Na
0.500 0.819 0.319 Na
0.500 0.319 0.181 Na
0.000 0.364 0.864 Ge
0.000 0.864 0.636 Ge
0.000 0.636 0.136 Ge
0.000 0.136 0.364 Ge
0.000 0.000 0.000 Pt
0.000 0.500 0.500 Pt

---

Record 3
InHgAu4 (SCAN, PBEsol geometry); magnetization = 0.00 μB/f.u.; DFT total energy = -378.18 eV/f.u.
1.0
-4.719 -2.657 0.925
-0.371 -3.576 4.155
-3.024 1.228 4.420
Au Hg In
4 1 1
Direct
0.375 0.375 0.375 Au
0.375 0.375 0.875 Au
0.875 0.375 0.375 Au
0.375 0.875 0.375 Au
0.750 0.750 0.750 Hg
0.000 0.000 0.000 In

---

Q: Which value of magnetization does entry 1 give?
A: 0.00 μB/f.u.